# CoAgPO4 | OQMD | PBE with a Hubbard U | relaxed
# Size of the total moment = 0.0 μB per cell
# E = -6.092 eV/atom
# Crystal system = triclinic
data_CoAgPO4
_symmetry_space_group_name_H-M 'P 1'
_symmetry_Int_Tables_number 1
_symmetry_space_group_name_Hall 'P 1'
_cell_length_a 9.500
_cell_length_b 5.521
_cell_length_c 6.582
_cell_angle_alpha 102.23
_cell_angle_beta 106.13
_cell_angle_gamma 80.18
loop_
_atom_site_label
_atom_site_type_symbol
_atom_site_fract_x
_atom_site_fract_y
_atom_site_fract_z
O1 O 0.592 0.765 0.527
O2 O 0.210 0.187 0.073
P1 P 0.093 0.181 0.854
O3 O 0.387 0.588 0.789
Co1 Co 0.212 0.679 0.941
P2 P 0.463 0.321 0.714
O4 O 0.560 0.871 0.160
O5 O 0.887 0.088 0.278
O6 O 0.440 0.129 0.840
O7 O 0.878 0.623 0.266
Co2 Co 0.788 0.321 0.059
Ag1 Ag 0.753 0.161 0.523
Co3 Co 0.568 0.786 0.831
O8 O 0.790 0.813 0.927
O9 O 0.122 0.377 0.734
O10 O 0.064 0.760 0.118
O11 O 0.936 0.240 0.882
O12 O 0.631 0.361 0.778
O13 O 0.613 0.412 0.211
Ag2 Ag 0.121 0.334 0.377
O14 O 0.369 0.639 0.222
O15 O 0.408 0.235 0.473
O16 O 0.113 0.912 0.722
P3 P 0.537 0.679 0.286
Ag3 Ag 0.879 0.666 0.623
Ag4 Ag 0.247 0.839 0.477
Co4 Co 0.432 0.214 0.169
P4 P 0.907 0.819 0.146